# 1
An optimized crystal structure of Sr2TeW. Source: Alexandria, functional GGA-PBEsol.

Computed properties:
* calculated total energy: -18.21 eV per formula unit
* mass density: 7.897 g/cm³
* energy relative to the elements, uncorrected: 700 meV per atom
* magnetic moment: 2.242 Bohr magnetons per cell

a b c (Å): 5.250 5.250 5.250
angles (deg): 60.00 60.00 60.00
Fractional positions:
Sr  0.000  0.000  0.000
Sr  0.250  0.250  0.250
Te  0.500  0.500  0.500
W  0.750  0.750  0.750

# 2
An optimized crystal structure of Sr2TeW. Source: Alexandria, functional GGA-PBEsol.

Computed properties:
* calculated total energy: -19.75 eV per formula unit
* mass density: 7.156 g/cm³
* energy relative to the elements, uncorrected: 316 meV per atom
* magnetic moment: 0.813 Bohr magnetons per cell

a b c (Å): 6.251 6.251 5.667
angles (deg): 107.74 107.74 32.54
Fractional positions:
Sr  0.000  0.000  0.000
Sr  0.194  0.194  0.638
Te  0.428  0.428  0.447
W  0.763  0.763  0.187